First-principles (GGA-PBE) data for an optimized crystal structure of NpMnIrRu, as listed in Alexandria via LeMat-Bulk.

```
NpMnIrRu
1.0
4.585 0.000 0.000
2.293 3.971 0.000
2.293 1.324 3.744
Np Ru Ir Mn
1 1 1 1
Direct
0.500 0.500 0.500 Np
0.750 0.750 0.750 Ru
0.250 0.250 0.250 Ir
0.000 0.000 0.000 Mn
```

Output
Crystal system: cubic
ΔH_f (0 K): -0.051 eV per atom
Symmetry: F-43m


First-principles (GGA-PBE) data for an optimized crystal structure of EuEr2Rh, as listed in Alexandria via LeMat-Bulk.

```
EuEr2Rh
1.0
3.951 0.000 0.000
1.976 3.422 0.000
1.976 1.141 9.336
Eu Rh Er
1 1 2
Direct
0.500 0.500 0.500 Eu
0.000 0.000 0.000 Rh
0.280 0.280 0.159 Er
0.720 0.720 0.841 Er
```

Output
Crystal system: trigonal
ΔH_f (0 K): -0.394 eV per atom
Excess energy over the best structure of this formula in the dataset: 30 meV/atom
Symmetry: R-3m


First-principles (GGA-PBE) data for an optimized crystal structure of TiAuNO2, as listed in Alexandria via LeMat-Bulk.

```
TiAuNO2
1.0
4.010 0.000 0.000
0.000 4.010 0.000
0.000 0.000 4.033
N Au O Ti
1 1 2 1
Direct
0.000 0.000 0.500 N
0.000 0.000 0.000 Au
0.000 0.500 0.000 O
0.500 0.000 0.000 O
0.500 0.500 0.500 Ti
```

Output
Crystal system: tetragonal
ΔE_f (raw): 612 meV/atom
Symmetry: P4/mmm


First-principles (GGA-PBE) data for an optimized crystal structure of La4Tb7Dy, as listed in Alexandria via LeMat-Bulk.

```
La4Tb7Dy
1.0
1.812 -3.138 0.000
1.812 3.138 0.000
0.000 0.000 35.410
La Tb Dy
4 7 1
Direct
0.333 0.667 0.916 La
0.667 0.333 0.084 La
0.333 0.667 0.666 La
0.667 0.333 0.334 La
0.000 0.000 0.000 Tb
0.333 0.667 0.419 Tb
0.667 0.333 0.581 Tb
0.333 0.667 0.169 Tb
0.667 0.333 0.831 Tb
0.000 0.000 0.750 Tb
0.000 0.000 0.250 Tb
0.000 0.000 0.500 Dy
```

Output
Crystal system: trigonal
ΔH_f (0 K): 0.019 eV per atom
Excess energy over the best structure of this formula in the dataset: 0 meV/atom
Symmetry: P-3m1


First-principles (GGA-PBE) data for an optimized crystal structure of AcTb6Nd10, as listed in Alexandria via LeMat-Bulk.

```
AcTb6Nd10
1.0
6.988 0.000 0.000
0.000 8.617 -4.975
0.000 0.000 9.950
Ac Tb Nd
1 6 10
Direct
0.500 0.000 0.000 Ac
0.688 0.371 0.371 Tb
0.688 0.000 0.629 Tb
0.688 0.629 0.000 Tb
0.312 0.629 0.629 Tb
0.312 0.000 0.371 Tb
0.312 0.371 0.000 Tb
0.826 0.718 0.718 Nd
0.826 0.000 0.282 Nd
0.826 0.282 0.000 Nd
0.174 0.282 0.282 Nd
0.174 0.000 0.718 Nd
0.174 0.718 0.000 Nd
0.500 0.333 0.667 Nd
0.500 0.667 0.333 Nd
0.000 0.667 0.333 Nd
0.000 0.333 0.667 Nd
```

Output
Crystal system: trigonal
ΔH_f (0 K): 0.133 eV per atom
Symmetry: P-31m


First-principles (GGA-PBE) data for an optimized crystal structure of LuTiIrPt, as listed in Alexandria via LeMat-Bulk.

```
LuTiIrPt
1.0
4.627 0.000 0.000
2.314 4.007 0.000
2.314 1.336 3.778
Ir Lu Pt Ti
1 1 1 1
Direct
0.750 0.750 0.750 Ir
0.000 0.000 0.000 Lu
0.250 0.250 0.250 Pt
0.500 0.500 0.500 Ti
```

Output
Crystal system: cubic
ΔH_f (0 K): -0.858 eV per atom
Symmetry: F-43m


First-principles (GGA-PBE) data for an optimized crystal structure of MnCoSiW, as listed in Alexandria via LeMat-Bulk.

```
MnCoSiW
1.0
4.117 0.000 0.000
2.058 3.565 0.000
2.058 1.188 3.361
Si Mn Co W
1 1 1 1
Direct
0.500 0.500 0.500 Si
0.250 0.250 0.250 Mn
0.750 0.750 0.750 Co
0.000 0.000 0.000 W
```

Output
Crystal system: cubic
ΔE_f (raw): -149 meV/atom
Symmetry: F-43m


First-principles (GGA-PBE) data for an optimized crystal structure of CaCrPd, as listed in Alexandria via LeMat-Bulk.

```
CaCrPd
1.0
-0.123 0.425 4.523
0.974 3.995 1.934
-3.295 2.436 1.965
Cr Ca Pd
1 1 1
Direct
0.250 0.250 0.250 Cr
0.750 0.750 0.750 Ca
0.500 0.500 0.500 Pd
```

Output
Crystal system: cubic
ΔH_f (0 K): 0.694 eV per atom
Excess energy over the best structure of this formula in the dataset: 782 meV/atom
Symmetry: F-43m


First-principles (GGA-PBE) data for an optimized crystal structure of MgOs2Pt, as listed in Alexandria via LeMat-Bulk.

```
MgOs2Pt
1.0
-1.977 1.824 -3.978
2.137 -0.952 -1.498
-2.271 -3.978 -0.696
Mg Os Pt
1 2 1
Direct
0.500 0.750 0.750 Mg
0.000 0.040 0.987 Os
0.000 0.460 0.513 Os
0.500 0.250 0.250 Pt
```

Output
Crystal system: monoclinic
ΔH_f (0 K): 0.176 eV per atom
Symmetry: P2/m


First-principles (GGA-PBE) data for an optimized crystal structure of La2PbC, as listed in Alexandria via LeMat-Bulk.

```
La2PbC
1.0
7.579 0.000 0.000
0.000 7.579 0.000
3.789 3.789 4.075
Pb C La
2 2 4
Direct
0.000 0.000 0.000 Pb
0.750 0.250 0.500 Pb
0.500 0.500 0.000 C
0.250 0.750 0.500 C
0.532 0.125 0.250 La
0.218 0.625 0.250 La
0.375 0.468 0.750 La
0.875 0.782 0.750 La
```

Output
Crystal system: tetragonal
ΔH_f (0 K): -0.098 eV per atom
Symmetry: I-42d